No. 1
# TbErOs

TbErOs after structural relaxation (GGA-PBE, the Alexandria database).

Output
space group	No. 107
ΔE_f	-0.73	eV/f.u.
ΔE to the lowest computed polymorph	0	meV per atom
total moment	0.0	μB per cell
density of states at the Fermi level	1.320	states/eV/cell

Cell and atoms, written as POSCAR:
```
TbErOs
1.0
-1.693 1.693 6.576
1.693 -1.693 6.576
1.693 1.693 -6.576
Tb Er Os
1 1 1
Direct
0.000 0.000 0.000 Tb
0.251 0.251 0.000 Er
0.628 0.628 0.000 Os
```

***

No. 2
# TbErOs

TbErOs after structural relaxation (GGA-PBE, the Alexandria database).

Output
space group	No. 10
ΔE_f	-0.61	eV/f.u.
ΔE to the lowest computed polymorph	42	meV per atom
total moment	0.0	μB per cell
density of states at the Fermi level	2.235	states/eV/cell

Cell and atoms, written as POSCAR:
```
TbErOs
1.0
6.754 0.000 0.000
0.000 3.354 0.000
-1.713 0.000 6.838
Tb Er Os
2 2 2
Direct
0.063 0.000 0.245 Tb
0.937 0.000 0.755 Tb
0.440 0.000 0.760 Er
0.560 0.000 0.240 Er
0.251 0.500 0.000 Os
0.749 0.500 0.000 Os
```

***

No. 3
# Tb3Er2Os2

Tb3Er2Os2 after structural relaxation (GGA-PBE, the Alexandria database).

Output
space group	No. 12
ΔE_f	-1.70	eV/f.u.
total moment	0.0	μB per cell
density of states at the Fermi level	4.823	states/eV/cell

Cell and atoms, written as POSCAR:
```
Tb3Er2Os2
1.0
5.974 -1.981 0.000
5.974 1.981 0.000
-3.110 0.000 7.617
Tb Er Os
3 2 2
Direct
0.000 0.000 0.000 Tb
0.124 0.124 0.432 Tb
0.876 0.876 0.568 Tb
0.332 0.332 0.181 Er
0.668 0.668 0.819 Er
0.321 0.321 0.786 Os
0.679 0.679 0.214 Os
```